# 1
A plane-wave DFT calculation with PBE was carried out for crystalline Ba3Mg2Tl4Ag2 at its relaxed geometry.

Calculated values
- formation energy (eV/atom) = -0.18

Unit cell a=5.091 b=5.091 c=16.660 alpha=90.00 beta=90.00 gamma=120.00
Fractional coordinates of all 11 atoms:
Ba 0.000 0.000 0.000
Ba 0.000 0.000 0.264
Ba 0.000 0.000 0.736
Mg 0.333 0.667 0.565
Mg 0.667 0.333 0.435
Tl 0.333 0.667 0.390
Tl 0.333 0.667 0.868
Tl 0.667 0.333 0.132
Tl 0.667 0.333 0.610
Ag 0.333 0.667 0.134
Ag 0.667 0.333 0.866

***

# 2
A plane-wave DFT calculation with PBE was carried out for crystalline Cs2Rb4Sn at its relaxed geometry.

Calculated values
- formation energy (eV/atom) = 0.04

Unit cell a=12.874 b=12.874 c=12.874 alpha=147.18 beta=147.18 gamma=47.10
Fractional coordinates of all 7 atoms:
Cs 0.144 0.144 0.000
Cs 0.856 0.856 0.000
Rb 0.000 0.500 0.500
Rb 0.346 0.346 0.000
Rb 0.500 0.000 0.500
Rb 0.654 0.654 0.000
Sn 0.500 0.500 0.000